Compound: ZnIn2Rh
Source: Alexandria via LeMat-Bulk
Functional: GGA-PBE
Structure: relaxed

Lattice parameters (Å, degrees): 3.5911 3.5911 5.7357 90.00 90.00 90.00
Element x y z (fractional)
Zn  0.0000  0.0000  0.0000
In  0.0000  0.0000  0.5444
In  0.5000  0.5000  0.2418
Rh  0.5000  0.5000  0.7639

Properties
formation energy from the elements = -124 meV/atom
magnetic moment = 0.00 μB/f.u.
symmetry = P4mm, No. 99



Compound: Zr2InRh
Source: Alexandria via LeMat-Bulk
Functional: GGA-PBE
Structure: relaxed

Lattice parameters (Å, degrees): 6.2026 6.2026 6.2026 102.66 102.66 124.16
Element x y z (fractional)
Zr  0.0773  0.6250  0.9523
Zr  0.3750  0.3273  0.4523
Zr  0.6727  0.1250  0.0477
Zr  0.8750  0.9227  0.5477
In  0.2500  0.7500  0.5000
In  0.5000  0.5000  0.0000
Rh  0.0000  0.0000  0.0000
Rh  0.7500  0.2500  0.5000

Properties
formation energy from the elements = -165 meV/atom
magnetic moment = 0.00 μB/f.u.
symmetry = I-42d, No. 122



Compound: ZrInRh
Source: Alexandria via LeMat-Bulk
Functional: GGA-PBE
Structure: relaxed

Lattice parameters (Å, degrees): 6.0571 6.0571 6.0571 149.37 149.37 43.86
Element x y z (fractional)
Zr  0.0000  0.0000  0.0000
In  0.3026  0.3026  0.0000
Rh  0.6453  0.6453  0.0000

Properties
formation energy from the elements = -517 meV/atom
magnetic moment = 0.00 μB/f.u.
symmetry = I4mm, No. 107



Compound: ZrIn4Rh
Source: Alexandria via LeMat-Bulk
Functional: GGA-PBE
Structure: relaxed

Lattice parameters (Å, degrees): 5.7293 5.7293 5.7293 60.00 60.00 60.00
Element x y z (fractional)
Zr  0.0000  0.0000  0.0000
In  0.1247  0.6251  0.6251
In  0.6251  0.1247  0.6251
In  0.6251  0.6251  0.1247
In  0.6251  0.6251  0.6251
Rh  0.2500  0.2500  0.2500

Properties
formation energy from the elements = 334 meV/atom
magnetic moment = 0.00 μB/f.u.
symmetry = F-43m, No. 216



Compound: Zr12In3Rh
Source: Alexandria via LeMat-Bulk
Functional: GGA-PBE
Structure: relaxed

Lattice parameters (Å, degrees): 4.4910 4.4910 17.3675 90.00 90.00 90.00
Element x y z (fractional)
Zr  0.0000  0.0000  0.0000
Zr  0.0000  0.0000  0.2414
Zr  0.0000  0.0000  0.5000
Zr  0.0000  0.0000  0.7586
Zr  0.0000  0.5000  0.1136
Zr  0.0000  0.5000  0.3726
Zr  0.0000  0.5000  0.6274
Zr  0.0000  0.5000  0.8864
Zr  0.5000  0.0000  0.1136
Zr  0.5000  0.0000  0.3726
Zr  0.5000  0.0000  0.6274
Zr  0.5000  0.0000  0.8864
In  0.5000  0.5000  0.2433
In  0.5000  0.5000  0.5000
In  0.5000  0.5000  0.7567
Rh  0.5000  0.5000  0.0000

Properties
formation energy from the elements = -227 meV/atom
magnetic moment = 0.00 μB/f.u.
symmetry = P4/mmm, No. 123



Compound: Zr2InRh
Source: Alexandria via LeMat-Bulk
Functional: GGA-PBE
Structure: relaxed

Lattice parameters (Å, degrees): 5.0866 5.0866 3.2421 90.00 90.00 108.70
Element x y z (fractional)
Zr  0.0000  0.5000  0.0000
Zr  0.5000  0.0000  0.0000
In  0.0000  0.0000  0.5000
Rh  0.5000  0.5000  0.5000

Properties
formation energy from the elements = -386 meV/atom
magnetic moment = 0.00 μB/f.u.
symmetry = Cmmm, No. 65



Compound: ZrIn2Rh
Source: Alexandria via LeMat-Bulk
Functional: GGA-PBE
Structure: relaxed

Lattice parameters (Å, degrees): 9.2778 9.2778 9.2778 20.89 20.89 20.89
Element x y z (fractional)
Zr  0.0000  0.0000  0.0000
In  0.5230  0.5230  0.5230
In  0.7621  0.7621  0.7621
Rh  0.2693  0.2693  0.2693

Properties
formation energy from the elements = -199 meV/atom
magnetic moment = 0.00 μB/f.u.
symmetry = R3m, No. 160



Compound: Zr2InRh
Source: Alexandria via LeMat-Bulk
Functional: GGA-PBE
Structure: relaxed

Lattice parameters (Å, degrees): 3.3657 4.4749 5.7575 90.00 106.92 90.00
Element x y z (fractional)
Zr  0.0000  0.0000  0.0000
Zr  0.3169  0.5000  0.6360
In  0.5928  0.5000  0.1862
Rh  0.7612  0.0000  0.5268

Properties
formation energy from the elements = -429 meV/atom
magnetic moment = 0.00 μB/f.u.
symmetry = Pm, No. 6